DFT (PBE) results for a relaxed structure of KTlSiAu2.

Properties
mass density = 8.274 Mg/m³
energy = -15.7 eV per formula unit
DOS at the Fermi energy = 0.2393 states/eV/atom
formation energy from raw total energies = -0.06 eV/atom

abc: 4.932 4.932 5.492
angles: 90.00 90.00 90.00
Space group P4/mmm (No. 123)
Unique sites:
K: 0.000 0.000 0.000 [1 per cell]
Tl: 0.500 0.500 0.000 [1 per cell]
Si: 0.500 0.500 0.500 [1 per cell]
Au: 0.000 0.500 0.500 [2 per cell]